Record 1
The following is a PBE calculation of a relaxed K3Fe crystal, from Alexandria via LeMat-Bulk.

```
K3Fe
1.0
-1.777 -2.005 6.904
7.092 1.756 -1.205
-5.053 3.959 -3.691
K Fe
3 1
Direct
0.000 0.500 0.500
0.500 0.000 0.500
0.500 0.500 0.000
0.000 0.000 0.000
```

**Calculated density**: 1486 kg/m³
**VASP energy**: -8.288 eV/cell

Record 2
The following is a PBE calculation of a relaxed La8Os3Br4N crystal, from Alexandria via LeMat-Bulk.

```
La8Os3Br4N
1.0
8.219 0.000 0.000
0.000 9.170 0.661
-4.110 -4.096 5.819
La Os Br N
8 3 4 1
Direct
0.742 0.685 0.963
0.221 0.685 0.963
0.221 0.684 0.443
0.779 0.316 0.557
0.265 0.294 0.529
0.735 0.706 0.471
0.779 0.315 0.037
0.258 0.315 0.037
0.500 0.500 0.000
0.000 0.500 0.500
0.500 0.500 0.500
0.500 0.000 0.500
0.500 0.000 0.000
0.000 0.000 0.500
0.000 0.000 0.000
0.000 0.500 0.000
```

**Calculated density**: 7262 kg/m³
**VASP energy**: -103.647 eV/cell

Record 3
The following is a PBE calculation of a relaxed CePuPt3 crystal, from Alexandria via LeMat-Bulk.

```
CePuPt3
1.0
7.086 0.000 0.000
0.000 7.760 0.000
0.000 0.000 7.809
Ce Pt Pu
4 12 4
Direct
0.714 0.857 0.000
0.286 0.143 0.000
0.786 0.357 0.500
0.214 0.643 0.500
0.876 0.643 0.745
0.624 0.143 0.755
0.624 0.143 0.245
0.500 0.500 0.247
0.876 0.643 0.255
0.000 0.000 0.253
0.500 0.500 0.753
0.000 0.000 0.747
0.376 0.857 0.245
0.124 0.357 0.745
0.376 0.857 0.755
0.124 0.357 0.255
0.302 0.139 0.500
0.198 0.639 0.000
0.698 0.861 0.500
0.802 0.361 0.000
```

**Calculated density**: 14995 kg/m³
**VASP energy**: -171.506 eV/cell

Record 4
The following is a PBE calculation of a relaxed NbAl crystal, from Alexandria via LeMat-Bulk.

```
NbAl
1.0
-2.260 -0.683 -4.729
2.062 -4.858 -0.284
-4.310 -1.967 2.343
Al Nb
4 4
Direct
0.500 0.000 0.500
0.500 0.500 0.000
0.000 0.500 0.500
0.000 0.000 0.000
0.500 0.500 0.500
0.000 0.500 0.000
0.000 0.000 0.500
0.500 0.000 0.000
```

**Calculated density**: 5393 kg/m³
**VASP energy**: -53.463 eV/cell

Record 5
The following is a PBE calculation of a relaxed La2MgAs crystal, from Alexandria via LeMat-Bulk.

```
La2MgAs
1.0
-4.115 6.344 3.302
-7.040 3.261 2.807
-4.420 3.200 6.188
La Mg As
2 1 1
Direct
0.226 0.226 0.226
0.027 0.027 0.027
0.468 0.468 0.468
0.779 0.779 0.779
```

**Calculated density**: 5017 kg/m³
**VASP energy**: -17.849 eV/cell

Record 6
The following is a PBE calculation of a relaxed LiDy2Sc crystal, from Alexandria via LeMat-Bulk.

```
LiDy2Sc
1.0
3.407 0.000 0.000
1.703 2.950 0.000
1.703 0.983 10.951
Sc Dy Li
1 2 1
Direct
0.667 0.667 0.000
0.251 0.251 0.246
0.082 0.082 0.754
0.500 0.500 0.500
```

**Calculated density**: 5686 kg/m³
**VASP energy**: -17.070 eV/cell

Record 7
The following is a PBE calculation of a relaxed Li2Cd3Ag2 crystal, from Alexandria via LeMat-Bulk.

```
Li2Cd3Ag2
1.0
4.673 -1.518 -2.111
-1.622 6.871 2.400
-1.977 2.986 5.902
Cd Ag Li
3 2 2
Direct
0.136 0.588 0.707
0.864 0.412 0.293
0.000 0.000 0.000
0.279 0.163 0.420
0.721 0.837 0.580
0.413 0.719 0.133
0.587 0.281 0.867
```

**Calculated density**: 7228 kg/m³
**VASP energy**: -13.485 eV/cell

Record 8
The following is a PBE calculation of a relaxed Ba4AgAu crystal, from Alexandria via LeMat-Bulk.

```
Ba4AgAu
1.0
7.280 0.004 3.589
-1.362 7.505 2.760
-0.345 0.561 9.863
Ba Ag Au
8 2 2
Direct
0.127 0.617 0.744
0.627 0.116 0.745
0.128 0.117 0.744
0.373 0.884 0.255
0.627 0.616 0.745
0.872 0.883 0.256
0.373 0.384 0.255
0.873 0.383 0.256
0.250 0.750 0.000
0.750 0.250 0.000
0.500 0.500 0.500
0.000 0.000 0.500
```

**Calculated density**: 5311 kg/m³
**VASP energy**: -31.033 eV/cell

Record 9
The following is a PBE calculation of a relaxed Cs2AgHgI crystal, from Alexandria via LeMat-Bulk.

```
Cs2AgHgI
1.0
-1.193 -6.794 0.473
5.716 -0.738 3.819
-2.919 0.828 4.530
Hg Cs Ag I
1 2 1 1
Direct
0.000 0.000 0.500
0.500 0.000 0.000
0.000 0.500 0.000
0.000 0.000 0.000
0.500 0.500 0.500
```

**Calculated density**: 4467 kg/m³
**VASP energy**: -9.145 eV/cell

Record 10
The following is a PBE calculation of a relaxed Sc2SnPdF crystal, from Alexandria via LeMat-Bulk.

```
Sc2SnPdF
1.0
5.202 0.000 0.000
0.000 4.077 0.000
0.000 0.000 5.202
Sn F Sc Pd
1 1 2 1
Direct
0.500 0.500 0.500
0.000 0.500 0.000
0.500 0.000 0.000
0.000 0.000 0.500
0.000 0.000 0.000
```

**Calculated density**: 5028 kg/m³
**VASP energy**: -26.393 eV/cell

Record 11
The following is a PBE calculation of a relaxed NaYHf2 crystal, from Alexandria via LeMat-Bulk.

```
NaYHf2
1.0
-3.289 -2.363 -1.290
2.689 -2.783 -1.757
0.058 -8.459 8.347
Hf Na Y
4 2 2
Direct
0.125 0.625 0.250
0.375 0.375 0.750
0.625 0.125 0.250
0.875 0.875 0.750
0.250 0.750 0.500
0.500 0.500 0.000
0.750 0.250 0.500
0.000 0.000 0.000
```

**Calculated density**: 7497 kg/m³
**VASP energy**: -48.891 eV/cell

Record 12
The following is a PBE calculation of a relaxed Lu2PuSn crystal, from Alexandria via LeMat-Bulk.

```
Lu2PuSn
1.0
-0.244 -1.654 -5.021
-0.109 -5.180 -1.077
-4.434 -2.227 -1.840
Sn Lu Pu
1 2 1
Direct
0.500 0.500 0.500
0.750 0.750 0.750
0.250 0.250 0.250
0.000 0.000 0.000
```

**Calculated density**: 11293 kg/m³
**VASP energy**: -27.895 eV/cell

Record 13
The following is a PBE calculation of a relaxed Mg3H5Ir2 crystal, from Alexandria via LeMat-Bulk.

```
Mg3H5Ir2
1.0
-5.746 5.187 -0.222
-1.749 -0.603 -4.320
-1.895 -2.054 1.054
Ir H Mg
2 5 3
Direct
0.833 0.151 0.837
0.243 0.535 0.837
0.061 0.841 0.837
0.741 0.027 0.336
0.392 0.218 0.837
0.073 0.350 0.837
0.397 0.745 0.837
0.192 0.049 0.337
0.906 0.618 0.337
0.548 0.417 0.337
```

**Calculated density**: 7236 kg/m³
**VASP energy**: -42.144 eV/cell

Record 14
The following is a PBE calculation of a relaxed Hf2PSe2 crystal, from Alexandria via LeMat-Bulk.

```
Hf2PSe2
1.0
4.825 0.000 0.000
0.000 4.825 0.000
2.412 2.412 4.689
P Se Hf
1 2 2
Direct
0.000 0.000 0.000
0.353 0.353 0.294
0.647 0.647 0.706
0.750 0.250 0.500
0.250 0.750 0.500
```

**Calculated density**: 8304 kg/m³
**VASP energy**: -34.620 eV/cell

Record 15
The following is a PBE calculation of a relaxed Hg2PdW crystal, from Alexandria via LeMat-Bulk.

```
Hg2PdW
1.0
-4.192 -1.906 5.924
-2.891 -5.728 -3.889
-1.459 -5.501 1.950
Hg Pd W
4 2 2
Direct
0.875 0.871 0.750
0.129 0.625 0.250
0.375 0.379 0.750
0.621 0.125 0.250
0.250 0.750 0.500
0.500 0.500 0.000
0.000 0.000 0.000
0.750 0.250 0.500
```

**Calculated density**: 14385 kg/m³
**VASP energy**: -29.704 eV/cell

Record 16
The following is a PBE calculation of a relaxed AcLa7Nd12 crystal, from Alexandria via LeMat-Bulk.

```
AcLa7Nd12
1.0
8.793 1.078 1.618
-1.409 8.746 1.618
-1.409 -1.875 8.694
La Nd Ac
7 12 1
Direct
0.937 0.834 0.609
0.391 0.063 0.166
0.500 0.500 0.500
0.166 0.391 0.063
0.834 0.609 0.937
0.609 0.937 0.834
0.063 0.166 0.391
0.289 0.741 0.882
0.148 0.514 0.626
0.852 0.486 0.374
0.374 0.852 0.486
0.741 0.882 0.289
0.259 0.118 0.711
0.118 0.711 0.259
0.486 0.374 0.852
0.882 0.289 0.741
0.711 0.259 0.118
0.626 0.148 0.514
0.514 0.626 0.148
0.000 0.000 0.000
```

**Calculated density**: 6663 kg/m³
**VASP energy**: -92.188 eV/cell

Record 17
The following is a PBE calculation of a relaxed Y2MgSi3Pt4 crystal, from Alexandria via LeMat-Bulk.

```
Y2MgSi3Pt4
1.0
4.191 0.000 0.000
0.000 4.191 0.000
0.000 0.000 10.251
Y Pt Si Mg
2 4 3 1
Direct
0.000 0.500 0.755
0.500 0.000 0.245
0.500 0.500 0.000
0.500 0.000 0.643
0.000 0.000 0.000
0.000 0.500 0.357
0.000 0.500 0.129
0.000 0.000 0.500
0.500 0.000 0.871
0.500 0.500 0.500
```

**Calculated density**: 9838 kg/m³
**VASP energy**: -65.528 eV/cell

Record 18
The following is a PBE calculation of a relaxed Zn2Re2Os crystal, from Alexandria via LeMat-Bulk.

```
Zn2Re2Os
1.0
6.860 0.000 0.000
0.000 6.860 0.000
0.000 0.000 3.273
Zn Re Os
4 4 2
Direct
0.825 0.325 0.500
0.175 0.675 0.500
0.325 0.175 0.500
0.675 0.825 0.500
0.623 0.123 0.000
0.123 0.377 0.000
0.377 0.877 0.000
0.877 0.623 0.000
0.000 0.000 0.000
0.500 0.500 0.000
```

**Calculated density**: 14955 kg/m³
**VASP energy**: -69.550 eV/cell

Record 19
The following is a PBE calculation of a relaxed Ga2TeMo crystal, from Alexandria via LeMat-Bulk.

```
Ga2TeMo
1.0
-1.945 3.037 -4.983
-5.800 -0.428 2.003
-3.226 6.667 1.526
Mo Ga Te
2 4 2
Direct
0.250 0.750 0.500
0.500 0.500 0.000
0.375 0.405 0.750
0.595 0.125 0.250
0.155 0.625 0.250
0.875 0.845 0.750
0.750 0.250 0.500
0.000 0.000 0.000
```

**Calculated density**: 5150 kg/m³
**VASP energy**: -33.840 eV/cell

Record 20
The following is a PBE calculation of a relaxed Pm5Y2Ho12 crystal, from Alexandria via LeMat-Bulk.

```
Pm5Y2Ho12
1.0
7.017 0.000 0.000
-3.508 8.677 2.834
0.000 0.510 10.412
Ho Pm Y
12 5 2
Direct
0.088 0.683 0.870
0.416 0.326 0.477
0.974 0.948 0.249
0.912 0.317 0.130
0.584 0.674 0.523
0.503 0.006 0.326
0.497 0.994 0.674
0.910 0.326 0.477
0.595 0.683 0.870
0.026 0.052 0.751
0.090 0.674 0.523
0.405 0.317 0.130
0.000 0.000 0.500
0.188 0.376 0.817
0.318 0.637 0.210
0.812 0.624 0.183
0.682 0.363 0.790
0.269 0.000 0.000
0.731 0.000 0.000
```

**Calculated density**: 7672 kg/m³
**VASP energy**: -88.219 eV/cell

Record 21
The following is a PBE calculation of a relaxed Cs2PuCu2I6 crystal, from Alexandria via LeMat-Bulk.

```
Cs2PuCu2I6
1.0
-8.278 -0.255 -2.356
3.190 -6.078 5.183
-1.215 8.163 3.383
Cu I Cs Pu
2 6 2 1
Direct
0.043 0.086 0.173
0.957 0.914 0.827
0.292 0.081 0.796
0.789 0.081 0.796
0.708 0.919 0.204
0.751 0.502 0.679
0.211 0.919 0.204
0.249 0.498 0.321
0.737 0.474 0.227
0.263 0.526 0.773
0.500 0.000 0.500
```

**Calculated density**: 4829 kg/m³
**VASP energy**: -43.017 eV/cell

Record 22
The following is a PBE calculation of a relaxed Nd3SmTh2Bi6 crystal, from Alexandria via LeMat-Bulk.

```
Nd3SmTh2Bi6
1.0
-0.763 -3.525 -2.858
2.660 -5.880 6.543
-9.481 2.637 2.982
Bi Nd Sm Th
6 3 1 2
Direct
0.666 0.083 0.332
0.667 0.583 0.335
0.333 0.417 0.665
0.334 0.917 0.668
0.000 0.752 0.000
0.000 0.248 0.000
0.166 0.834 0.332
0.500 0.500 0.000
0.834 0.166 0.668
0.500 0.000 0.000
0.165 0.331 0.330
0.835 0.669 0.670
```

**Calculated density**: 9264 kg/m³
**VASP energy**: -67.112 eV/cell

Record 23
The following is a PBE calculation of a relaxed Y2Ga3SiPt4 crystal, from Alexandria via LeMat-Bulk.

```
Y2Ga3SiPt4
1.0
-2.268 -3.021 1.737
3.484 -2.019 1.038
0.227 5.162 9.274
Y Pt Ga Si
2 4 3 1
Direct
0.500 0.000 0.259
0.000 0.500 0.741
0.000 0.000 0.000
0.000 0.500 0.371
0.500 0.000 0.629
0.500 0.500 0.000
0.500 0.000 0.862
0.000 0.000 0.500
0.000 0.500 0.138
0.500 0.500 0.500
```

**Calculated density**: 10813 kg/m³
**VASP energy**: -61.415 eV/cell